(1)
This record from the Alexandria database describes a relaxed K2CdBi4Au3 crystal. The functional is PBE-GGA.

```
K2CdBi4Au3
1.0
4.972 0.000 0.000
0.000 4.972 0.000
0.000 0.000 12.230
K Cd Bi Au
2 1 4 3
direct
0.000 0.500 0.246 K
0.500 0.000 0.754 K
0.500 0.500 0.000 Cd
0.000 0.000 0.500 Bi
0.000 0.500 0.863 Bi
0.500 0.000 0.137 Bi
0.500 0.500 0.500 Bi
0.000 0.000 0.000 Au
0.000 0.500 0.633 Au
0.500 0.000 0.367 Au
```

Computed properties:
* mass density: 8.9 g/cm3
* total energy: -0.1132 Ha/atom
* total moment: 0.000 μB/atom
* ΔH_f (0 K): -233 meV/atom

=====

(2)
This record from the Alexandria database describes a relaxed Rb2SbPBr6 crystal. The functional is PBE-GGA.

```
Rb2SbPBr6
1.0
-3.921 3.921 5.609
3.921 -3.921 5.609
3.921 3.921 -5.609
Rb Sb P Br
2 1 1 6
direct
0.250 0.750 0.500 Rb
0.750 0.250 0.500 Rb
0.000 0.000 0.000 Sb
0.500 0.500 0.000 P
0.257 0.257 0.000 Br
0.259 0.259 0.518 Br
0.259 0.741 0.000 Br
0.741 0.259 0.000 Br
0.741 0.741 0.482 Br
0.743 0.743 0.000 Br
```

Computed properties:
* mass density: 3.9 g/cm3
* formation energy from raw total energies: -0.81 eV per atom
* total energy: -0.1086 Ha/atom
* total moment: 0.000 μB/atom

=====

(3)
This record from the Alexandria database describes a relaxed Pm3Nd4Ho crystal. The functional is PBE-GGA.

```
Pm3Nd4Ho
1.0
11.804 0.000 0.000
0.000 7.376 0.000
0.000 0.000 6.378
Pm Nd Ho
6 8 2
direct
0.000 0.125 0.000 Pm
0.250 0.123 0.331 Pm
0.250 0.877 0.831 Pm
0.500 0.875 0.500 Pm
0.750 0.123 0.331 Pm
0.750 0.877 0.831 Pm
0.000 0.374 0.501 Nd
0.000 0.626 0.997 Nd
0.248 0.627 0.332 Nd
0.252 0.373 0.832 Nd
0.500 0.374 0.497 Nd
0.500 0.626 0.001 Nd
0.748 0.373 0.832 Nd
0.752 0.627 0.332 Nd
0.000 0.877 0.499 Ho
0.500 0.123 0.999 Ho
```

Computed properties:
* mass density: 7.0 g/cm3
* total energy: -0.1730 Ha/atom
* total moment: 0.000 μB/atom
* E above lowest polymorph: 0.0 kJ per mole of atoms
* ΔH_f (0 K): 31 meV/atom

=====

(4)
This record from the Alexandria database describes a relaxed GdCdNiAg crystal. The functional is PBE-GGA.

```
GdCdNiAg
1.0
6.831 0.000 0.000
0.000 6.831 0.000
0.000 0.000 6.831
Gd Cd Ni Ag
4 4 4 4
direct
0.000 0.000 0.000 Gd
0.000 0.500 0.500 Gd
0.500 0.000 0.500 Gd
0.500 0.500 0.000 Gd
0.000 0.000 0.500 Cd
0.000 0.500 0.000 Cd
0.500 0.000 0.000 Cd
0.500 0.500 0.500 Cd
0.250 0.250 0.750 Ni
0.250 0.750 0.250 Ni
0.750 0.250 0.250 Ni
0.750 0.750 0.750 Ni
0.250 0.250 0.250 Ag
0.250 0.750 0.750 Ag
0.750 0.250 0.750 Ag
0.750 0.750 0.250 Ag
```

Computed properties:
* mass density: 9.1 g/cm3
* total energy: -0.2238 Ha/atom
* total moment: 1.809 μB/atom
* ΔH_f (0 K): -184 meV/atom

=====

(5)
This record from the Alexandria database describes a relaxed Mg2VGa2 crystal. The functional is PBE-GGA.

```
Mg2VGa2
1.0
3.996 0.000 0.000
0.000 3.996 0.000
0.000 0.000 12.015
Mg V Ga
4 2 4
direct
0.000 0.500 0.250 Mg
0.000 0.500 0.750 Mg
0.500 0.000 0.250 Mg
0.500 0.000 0.750 Mg
0.000 0.000 0.000 V
0.500 0.500 0.500 V
0.000 0.000 0.402 Ga
0.000 0.000 0.598 Ga
0.500 0.500 0.098 Ga
0.500 0.500 0.902 Ga
```

Computed properties:
* mass density: 4.1 g/cm3
* total energy: -0.1246 Ha/atom
* total moment: 0.520 μB/atom
* E above lowest polymorph: 19.4 kJ per mole of atoms
* ΔH_f (0 K): 281 meV/atom

=====

(6)
This record from the Alexandria database describes a relaxed Ba2CrH crystal. The functional is PBE-GGA.

```
Ba2CrH
1.0
8.158 0.000 0.000
0.000 8.158 0.000
0.000 0.000 8.158
Ba Cr H
8 4 4
direct
0.250 0.250 0.250 Ba
0.250 0.250 0.750 Ba
0.250 0.750 0.250 Ba
0.250 0.750 0.750 Ba
0.750 0.250 0.250 Ba
0.750 0.250 0.750 Ba
0.750 0.750 0.250 Ba
0.750 0.750 0.750 Ba
0.000 0.000 0.000 Cr
0.000 0.500 0.500 Cr
0.500 0.000 0.500 Cr
0.500 0.500 0.000 Cr
0.000 0.000 0.500 H
0.000 0.500 0.000 H
0.500 0.000 0.000 H
0.500 0.500 0.500 H
```

Computed properties:
* mass density: 4.0 g/cm3
* total energy: -0.1324 Ha/atom
* total moment: 1.537 μB/atom
* E above lowest polymorph: 23.9 kJ per mole of atoms

=====

(7)
This record from the Alexandria database describes a relaxed PuMg2Sn2 crystal. The functional is PBE-GGA.

```
PuMg2Sn2
1.0
8.790 0.000 0.000
0.000 4.671 0.000
-3.666 0.000 6.169
Pu Mg Sn
2 4 4
direct
0.000 0.000 0.000 Pu
0.500 0.500 0.000 Pu
0.197 0.000 0.618 Mg
0.303 0.500 0.382 Mg
0.697 0.500 0.618 Mg
0.803 0.000 0.382 Mg
0.068 0.500 0.754 Sn
0.432 0.000 0.246 Sn
0.568 0.000 0.754 Sn
0.932 0.500 0.246 Sn
```

Computed properties:
* mass density: 6.9 g/cm3
* total energy: -0.1953 Ha/atom
* total moment: 1.177 μB/atom
* E above lowest polymorph: 0.0 kJ per mole of atoms
* ΔH_f (0 K): -208 meV/atom

=====

(8)
This record from the Alexandria database describes a relaxed Zr2SiOs crystal. The functional is PBE-GGA.

```
Zr2SiOs
1.0
3.213 0.000 0.000
0.000 3.743 0.000
0.000 0.000 5.913
Zr Si Os
2 1 1
direct
0.000 0.000 0.250 Zr
0.000 0.000 0.750 Zr
0.500 0.500 0.000 Si
0.500 0.500 0.500 Os
```

Computed properties:
* mass density: 9.4 g/cm3
* formation energy from raw total energies: -0.43 eV per atom
* total energy: -0.3257 Ha/atom
* total moment: 0.000 μB/atom